(w)
Hg2IBr PBE-GGA optimized geometry; SG = Fm-3m, No. 225
1.0
0.0000 3.8853 3.8853
3.8853 0.0000 3.8853
3.8853 3.8853 0.0000
I Hg Br
1 2 1
direct
0.5000 0.5000 0.5000 I
0.7500 0.7500 0.7500 Hg
0.2500 0.2500 0.2500 Hg
0.0000 0.0000 0.0000 Br

=====

(x)
Hg2IBr PBE-GGA optimized geometry; SG = I-42d, No. 122
1.0
7.2305 0.0000 0.0000
0.0000 7.2305 0.0000
3.6152 3.6152 6.8097
Br Hg I
2 4 2
direct
0.5000 0.5000 0.0000 Br
0.2500 0.7500 0.5000 Br
0.1419 0.6250 0.2500 Hg
0.3750 0.3919 0.7500 Hg
0.8750 0.8581 0.7500 Hg
0.6081 0.1250 0.2500 Hg
0.0000 0.0000 0.0000 I
0.7500 0.2500 0.5000 I

=====

(x) wins, 3.0 kJ/mol of atoms ahead of the next structure.

=====

(w)
Hg3IBr PBE-GGA optimized geometry; SG = Pm-3m, No. 221
1.0
-0.5736 -0.4972 5.7712
5.7889 -0.2556 0.5533
0.2061 5.7940 0.5196
Hg Br I
3 1 1
direct
0.5000 0.0000 0.0000 Hg
0.0000 0.5000 0.0000 Hg
0.0000 0.0000 0.5000 Hg
0.0000 0.0000 0.0000 Br
0.5000 0.5000 0.5000 I

=====

(x)
Hg3IBr PBE-GGA optimized geometry; SG = R3c, No. 161
1.0
7.0603 0.0000 2.6365
3.0379 6.3733 2.6365
0.7221 0.4558 8.8380
I Hg Br
2 6 2
direct
0.9359 0.9359 0.1923 I
0.4359 0.4359 0.6923 I
0.0831 0.3281 0.7157 Hg
0.5831 0.3732 0.2157 Hg
0.3732 0.8281 0.2157 Hg
0.8732 0.0831 0.7157 Hg
0.3281 0.8732 0.7157 Hg
0.8281 0.5831 0.2157 Hg
0.2513 0.2513 0.2462 Br
0.7513 0.7513 0.7462 Br

=====

(x) wins, 19.4 kJ/mol of atoms ahead of the next structure.